[1]
A plane-wave DFT calculation with GGA-PBE was carried out for a relaxed AlIO2 crystal.

Geometry as CIF:
```
data_AlIO2
_chemical_formula_sum 'Al1 I1 O2'
_cell_length_a 7.505
_cell_length_b 7.505
_cell_length_c 7.505
_cell_angle_alpha 25.43
_cell_angle_beta 25.43
_cell_angle_gamma 25.43
_space_group_name_H-M_alt 'P 1'
_space_group_IT_number 1
loop_
_space_group_symop_operation_xyz
'x,y,z'
loop_
_atom_site_label
_atom_site_type_symbol
_atom_site_fract_x
_atom_site_fract_y
_atom_site_fract_z
Al1 Al 0.000 0.000 0.000
O1 O 0.077 0.077 0.077
O2 O 0.923 0.923 0.923
I1 I 0.500 0.500 0.500
```

## Properties
M_tot (Bohr magnetons per cell): 0.72
Formation energy without anion corrections (eV per formula unit): -0.939
Calculated density (g/cm3): 4.50

***

[2]
A plane-wave DFT calculation with GGA-PBE was carried out for a relaxed Re8Tc4Mo crystal.

Geometry as CIF:
```
data_Re8Tc4Mo
_chemical_formula_sum 'Re8 Tc4 Mo1'
_cell_length_a 9.872
_cell_length_b 8.669
_cell_length_c 8.358
_cell_angle_alpha 90.00
_cell_angle_beta 147.85
_cell_angle_gamma 116.04
_space_group_name_H-M_alt 'P 1'
_space_group_IT_number 1
loop_
_space_group_symop_operation_xyz
'x,y,z'
loop_
_atom_site_label
_atom_site_type_symbol
_atom_site_fract_x
_atom_site_fract_y
_atom_site_fract_z
Re1 Re 0.524 0.762 0.779
Re2 Re 0.000 0.746 0.226
Re3 Re 0.000 0.746 0.774
Re4 Re 0.524 0.762 0.269
Re5 Re 0.476 0.238 0.731
Re6 Re 0.000 0.254 0.226
Re7 Re 0.000 0.254 0.774
Re8 Re 0.476 0.238 0.221
Tc1 Tc 0.000 0.500 0.000
Tc2 Tc 0.000 0.000 0.000
Tc3 Tc 0.500 0.500 0.000
Tc4 Tc 0.500 0.000 0.000
Mo1 Mo 0.000 0.500 0.500
```

## Properties
Energy of formation from the pure elements (meV/atom): 542
M_tot (Bohr magnetons per cell): 0.96
Calculated density (g/cm3): 15.27

***

[3]
A plane-wave DFT calculation with GGA-PBE was carried out for a relaxed RuI4 crystal.

Geometry as CIF:
```
data_RuI4
_chemical_formula_sum 'Ru1 I4'
_cell_length_a 5.435
_cell_length_b 5.435
_cell_length_c 5.435
_cell_angle_alpha 90.00
_cell_angle_beta 90.00
_cell_angle_gamma 90.00
_space_group_name_H-M_alt 'P 1'
_space_group_IT_number 1
loop_
_space_group_symop_operation_xyz
'x,y,z'
loop_
_atom_site_label
_atom_site_type_symbol
_atom_site_fract_x
_atom_site_fract_y
_atom_site_fract_z
I1 I 0.500 0.500 0.000
I2 I 0.000 0.000 0.000
I3 I 0.000 0.500 0.500
I4 I 0.500 0.000 0.500
Ru1 Ru 0.500 0.500 0.500
```

## Properties
M_tot (Bohr magnetons per cell): 0.96
Formation energy without anion corrections (eV per formula unit): 1.788
Calculated density (g/cm3): 6.30

***

[4]
A plane-wave DFT calculation with GGA-PBE was carried out for a relaxed GaIrSe2Br crystal.

Geometry as CIF:
```
data_GaIrSe2Br
_chemical_formula_sum 'Ga1 Ir1 Se2 Br1'
_cell_length_a 4.936
_cell_length_b 4.936
_cell_length_c 4.928
_cell_angle_alpha 90.00
_cell_angle_beta 90.00
_cell_angle_gamma 90.00
_space_group_name_H-M_alt 'P 1'
_space_group_IT_number 1
loop_
_space_group_symop_operation_xyz
'x,y,z'
loop_
_atom_site_label
_atom_site_type_symbol
_atom_site_fract_x
_atom_site_fract_y
_atom_site_fract_z
Ir1 Ir 0.500 0.500 0.500
Se1 Se 0.000 0.500 0.000
Se2 Se 0.500 0.000 0.000
Ga1 Ga 0.000 0.000 0.000
Br1 Br 0.000 0.000 0.500
```

## Properties
M_tot (Bohr magnetons per cell): 2.52
Formation energy without anion corrections (eV per formula unit): 5.297
Calculated density (g/cm3): 6.91

***

[5]
A plane-wave DFT calculation with GGA-PBE was carried out for a relaxed RbMn2Br6 crystal.

Geometry as CIF:
```
data_RbMn2Br6
_chemical_formula_sum 'Rb1 Mn2 Br6'
_cell_length_a 4.907
_cell_length_b 7.701
_cell_length_c 10.041
_cell_angle_alpha 99.95
_cell_angle_beta 90.00
_cell_angle_gamma 108.58
_space_group_name_H-M_alt 'P 1'
_space_group_IT_number 1
loop_
_space_group_symop_operation_xyz
'x,y,z'
loop_
_atom_site_label
_atom_site_type_symbol
_atom_site_fract_x
_atom_site_fract_y
_atom_site_fract_z
Br1 Br 0.805 0.610 0.105
Br2 Br 0.195 0.390 0.895
Br3 Br 0.917 0.833 0.801
Br4 Br 0.668 0.337 0.618
Br5 Br 0.332 0.663 0.382
Br6 Br 0.083 0.167 0.199
Rb1 Rb 0.000 0.000 0.500
Mn1 Mn 0.761 0.522 0.843
Mn2 Mn 0.239 0.478 0.157
```

## Properties
M_tot (Bohr magnetons per cell): 9.00
Formation energy without anion corrections (eV per formula unit): -7.986
Calculated density (g/cm3): 3.17

***

[6]
A plane-wave DFT calculation with GGA-PBE was carried out for a relaxed SrMgP3 crystal.

Geometry as CIF:
```
data_SrMgP3
_chemical_formula_sum 'Sr1 Mg1 P3'
_cell_length_a 5.390
_cell_length_b 5.390
_cell_length_c 5.390
_cell_angle_alpha 90.00
_cell_angle_beta 90.00
_cell_angle_gamma 90.00
_space_group_name_H-M_alt 'P 1'
_space_group_IT_number 1
loop_
_space_group_symop_operation_xyz
'x,y,z'
loop_
_atom_site_label
_atom_site_type_symbol
_atom_site_fract_x
_atom_site_fract_y
_atom_site_fract_z
P1 P 0.500 0.000 0.000
P2 P 0.000 0.500 0.000
P3 P 0.000 0.000 0.500
Mg1 Mg 0.500 0.500 0.500
Sr1 Sr 0.000 0.000 0.000
```

## Properties
Energy of formation from the pure elements (meV/atom): 1093
M_tot (Bohr magnetons per cell): 0.00
Calculated density (g/cm3): 2.17